Entry 1:
5
Lattice="1.254 0.724 10.560 -1.254 0.724 10.560 0.000 -1.448 10.560" Properties=species:S:1:pos:R:3 comment="Mn3Cu2 (PBE, optimized geometry)" formation_enthalpy_0k_mev_per_atom=197 dos_ef_per_ev_atom=0.661 magnetic_moment_mub_per_fu=2.30 e_above_lowest_polymorph_ev_per_fu=0.00 spacegroup="R-3m, No. 166" pbc="T T T"
Mn 0.000 0.000 0.000
Mn 0.000 0.000 6.215
Mn 0.000 0.000 25.466
Cu 0.000 0.000 12.723
Cu 0.000 0.000 18.958



Entry 2:
5
Lattice="4.888 0.000 0.000 0.000 4.888 0.000 0.000 0.000 4.888" Properties=species:S:1:pos:R:3 comment="NaSiAg3 (PBE, optimized geometry)" dos_ef_per_ev_atom=0.380 magnetic_moment_mub_per_fu=0.00 spacegroup="Pm-3m, No. 221" total_energy_ev_per_atom=-2.00 pbc="T T T"
Na 0.000 0.000 0.000
Si 2.444 2.444 2.444
Ag 0.000 0.000 2.444
Ag 0.000 2.444 0.000
Ag 2.444 0.000 0.000



Entry 3:
12
Lattice="8.973 0.000 0.000 0.000 4.368 0.000 -2.718 0.000 9.898" Properties=species:S:1:pos:R:3 comment="NaTmMnTe3 (PBE, optimized geometry)" dos_ef_per_ev_atom=0.148 magnetic_moment_mub_per_fu=4.92 spacegroup="P2_1/m, No. 11" total_energy_ev_per_atom=-4.93 pbc="T T T"
Na 1.166 1.092 2.107
Na 5.090 3.276 7.791
Tm 0.653 3.276 8.443
Tm 5.603 1.092 1.456
Mn -0.889 1.092 5.947
Mn 7.145 3.276 3.951
Te -1.516 1.092 8.539
Te 0.646 3.276 5.269
Te 3.495 3.276 1.593
Te 2.761 1.092 8.305
Te 5.610 1.092 4.629
Te 7.772 3.276 1.359



Entry 4:
8
Lattice="4.923 0.000 0.000 0.000 3.315 0.000 0.000 0.000 10.459" Properties=species:S:1:pos:R:3 comment="ZrSc2Ga (PBE, optimized geometry)" formation_enthalpy_0k_mev_per_atom=-312 dos_ef_per_ev_atom=0.799 magnetic_moment_mub_per_fu=0.00 spacegroup="Pmma, No. 51" pbc="T T T"
Zr 1.231 0.000 0.996
Zr 3.692 0.000 9.463
Sc 1.231 1.657 3.914
Sc 1.231 1.657 8.653
Sc 3.692 1.657 1.806
Sc 3.692 1.657 6.544
Ga 1.231 0.000 6.321
Ga 3.692 0.000 4.138



Entry 5:
4
Lattice="1.851 1.069 8.737 -1.851 1.069 8.737 0.000 -2.138 8.737" Properties=species:S:1:pos:R:3 comment="SmDyGa2 (PBE, optimized geometry)" formation_enthalpy_0k_mev_per_atom=-407 dos_ef_per_ev_atom=0.519 magnetic_moment_mub_per_fu=0.00 e_above_lowest_polymorph_ev_per_fu=0.83 spacegroup="R-3m, No. 166" pbc="T T T"
Sm 0.000 0.000 0.000
Dy 0.000 0.000 13.106
Ga 0.000 0.000 6.513
Ga 0.000 0.000 19.699



Entry 6:
4
Lattice="0.000 3.038 3.038 3.038 0.000 3.038 3.038 3.038 0.000" Properties=species:S:1:pos:R:3 comment="CuRh3 (PBE, optimized geometry)" formation_enthalpy_0k_mev_per_atom=234 dos_ef_per_ev_atom=1.725 magnetic_moment_mub_per_fu=0.43 spacegroup="Fm-3m, No. 225" pbc="T T T"
Cu 0.000 0.000 0.000
Rh 1.519 1.519 1.519
Rh 3.038 3.038 3.038
Rh 4.557 4.557 4.557